Entry 1:
# AlVZn3 | the Alexandria database | GGA-PBE | relaxed
data_AlVZn3
_cell_length_a 4.918
_cell_length_b 4.918
_cell_length_c 4.918
_cell_angle_alpha 90.00
_cell_angle_beta 90.00
_cell_angle_gamma 90.00
_space_group_name_H-M_alt 'P 1'
_space_group_IT_number 1
loop_
_space_group_symop_operation_xyz
'x,y,z'
loop_
_atom_site_label
_atom_site_type_symbol
_atom_site_fract_x
_atom_site_fract_y
_atom_site_fract_z
_atom_site_occupancy
Zn1 Zn 0.000 0.500 0.000 1
Zn2 Zn 0.000 0.000 0.500 1
Zn3 Zn 0.500 0.000 0.000 1
Al1 Al 0.500 0.500 0.500 1
V1 V 0.000 0.000 0.000 1
# - formation energy (meV/atom) = 905.9
# - offset from the most stable computed form (meV per atom) = 36

---

Entry 2:
# LiTl3C | the Alexandria database | GGA-PBE | relaxed
data_LiTl3C
_cell_length_a 5.087
_cell_length_b 5.087
_cell_length_c 5.087
_cell_angle_alpha 90.00
_cell_angle_beta 90.00
_cell_angle_gamma 90.00
_space_group_name_H-M_alt 'P 1'
_space_group_IT_number 1
loop_
_space_group_symop_operation_xyz
'x,y,z'
loop_
_atom_site_label
_atom_site_type_symbol
_atom_site_fract_x
_atom_site_fract_y
_atom_site_fract_z
_atom_site_occupancy
Tl1 Tl 0.000 0.500 0.000 1
Tl2 Tl 0.000 0.000 0.500 1
Tl3 Tl 0.500 0.000 0.000 1
C1 C 0.000 0.000 0.000 1
Li1 Li 0.500 0.500 0.500 1
# - formation energy (meV/atom) = 895.9
# - offset from the most stable computed form (meV per atom) = 0

---

Entry 3:
# ScTa2 | the Alexandria database | GGA-PBE | relaxed
data_ScTa2
_cell_length_a 6.419
_cell_length_b 6.419
_cell_length_c 6.419
_cell_angle_alpha 90.00
_cell_angle_beta 90.00
_cell_angle_gamma 90.00
_space_group_name_H-M_alt 'P 1'
_space_group_IT_number 1
loop_
_space_group_symop_operation_xyz
'x,y,z'
loop_
_atom_site_label
_atom_site_type_symbol
_atom_site_fract_x
_atom_site_fract_y
_atom_site_fract_z
_atom_site_occupancy
Sc1 Sc 0.000 0.000 0.000 1
Sc2 Sc 0.000 0.500 0.500 1
Sc3 Sc 0.500 0.000 0.500 1
Sc4 Sc 0.500 0.500 0.000 1
Ta1 Ta 0.250 0.750 0.750 1
Ta2 Ta 0.250 0.750 0.250 1
Ta3 Ta 0.250 0.250 0.750 1
Ta4 Ta 0.250 0.250 0.250 1
Ta5 Ta 0.750 0.750 0.750 1
Ta6 Ta 0.750 0.750 0.250 1
Ta7 Ta 0.750 0.250 0.750 1
Ta8 Ta 0.750 0.250 0.250 1
# - formation energy (meV/atom) = 1439.7
# - offset from the most stable computed form (meV per atom) = 1283

---

Entry 4:
# U5P5N | the Alexandria database | GGA-PBE | relaxed
data_U5P5N
_cell_length_a 5.428
_cell_length_b 6.703
_cell_length_c 7.532
_cell_angle_alpha 107.11
_cell_angle_beta 90.00
_cell_angle_gamma 113.88
_space_group_name_H-M_alt 'P 1'
_space_group_IT_number 1
loop_
_space_group_symop_operation_xyz
'x,y,z'
loop_
_atom_site_label
_atom_site_type_symbol
_atom_site_fract_x
_atom_site_fract_y
_atom_site_fract_z
_atom_site_occupancy
U1 U 0.852 0.704 0.152 1
U2 U 0.844 0.688 0.689 1
U3 U 0.500 0.000 0.000 1
U4 U 0.156 0.312 0.311 1
U5 U 0.148 0.296 0.848 1
P1 P 0.684 0.368 0.331 1
P2 P 0.661 0.322 0.824 1
P3 P 0.000 0.000 0.500 1
P4 P 0.339 0.678 0.176 1
P5 P 0.316 0.632 0.669 1
N1 N 0.000 0.000 0.000 1
# - formation energy (no corrections) (meV/atom) = -732

---

Entry 5:
# CaScRh | the Alexandria database | GGA-PBE | relaxed
data_CaScRh
_cell_length_a 4.630
_cell_length_b 7.303
_cell_length_c 9.902
_cell_angle_alpha 91.64
_cell_angle_beta 103.52
_cell_angle_gamma 90.00
_space_group_name_H-M_alt 'P 1'
_space_group_IT_number 1
loop_
_space_group_symop_operation_xyz
'x,y,z'
loop_
_atom_site_label
_atom_site_type_symbol
_atom_site_fract_x
_atom_site_fract_y
_atom_site_fract_z
_atom_site_occupancy
Ca1 Ca 0.077 0.317 0.153 1
Ca2 Ca 0.417 0.157 0.833 1
Ca3 Ca 0.583 0.843 0.167 1
Ca4 Ca 0.923 0.683 0.847 1
Sc1 Sc 0.212 0.617 0.423 1
Sc2 Sc 0.764 0.868 0.528 1
Sc3 Sc 0.788 0.383 0.577 1
Sc4 Sc 0.236 0.132 0.472 1
Rh1 Rh 0.338 0.476 0.676 1
Rh2 Rh 0.676 0.158 0.351 1
Rh3 Rh 0.662 0.524 0.324 1
Rh4 Rh 0.324 0.842 0.649 1
# - formation energy (meV/atom) = -463.7
# - offset from the most stable computed form (meV per atom) = 143

---

Entry 6:
# Nb2Ru2Pt | the Alexandria database | GGA-PBE | relaxed
data_Nb2Ru2Pt
_cell_length_a 4.287
_cell_length_b 4.287
_cell_length_c 10.662
_cell_angle_alpha 90.00
_cell_angle_beta 90.00
_cell_angle_gamma 120.00
_space_group_name_H-M_alt 'P 1'
_space_group_IT_number 1
loop_
_space_group_symop_operation_xyz
'x,y,z'
loop_
_atom_site_label
_atom_site_type_symbol
_atom_site_fract_x
_atom_site_fract_y
_atom_site_fract_z
_atom_site_occupancy
Nb1 Nb 0.333 0.667 0.600 1
Nb2 Nb 0.667 0.333 0.100 1
Nb3 Nb 0.667 0.333 0.400 1
Nb4 Nb 0.333 0.667 0.900 1
Ru1 Ru 0.667 0.333 0.750 1
Ru2 Ru 0.000 0.000 0.000 1
Ru3 Ru 0.000 0.000 0.500 1
Ru4 Ru 0.333 0.667 0.250 1
Pt1 Pt 0.000 0.000 0.250 1
Pt2 Pt 0.000 0.000 0.750 1
# - formation energy (meV/atom) = 70.1
# - offset from the most stable computed form (meV per atom) = 290

---

Number 1: size of the total moment 3.8 μB/cell, mass density 3.83 g cm⁻³. Number 2: size of the total moment 0.0 μB/cell, mass density 7.97 g cm⁻³. Number 3: size of the total moment 0.0 μB/cell, mass density 10.22 g cm⁻³. Number 4: size of the total moment 10.0 μB/cell, mass density 9.51 g cm⁻³. Number 5: size of the total moment 0.0 μB/cell, mass density 3.84 g cm⁻³. Number 6: size of the total moment 0.0 μB/cell, mass density 11.41 g cm⁻³.